(1)
First-principles (PBE) data for an optimized crystal structure of Dy2ScCd2, as listed in Alexandria.

Structure (CIF):
```
data_Dy2ScCd2
_space_group_name_H-M_alt 'P 1'
_space_group_IT_number 1
_cell_length_a 3.6275
_cell_length_b 5.1868
_cell_length_c 13.7037
_cell_angle_alpha 90.00
_cell_angle_beta 97.61
_cell_angle_gamma 90.00
loop_
_space_group_symop_operation_xyz
'x,y,z'
loop_
_atom_site_label
_atom_site_fract_x
_atom_site_fract_y
_atom_site_fract_z
Dy1 0.7644 0.2500 0.5282
Cd1 0.5596 0.2500 0.1183
Cd2 0.4404 0.7500 0.8817
Dy2 0.0442 0.7500 0.0875
Sc1 0.1524 0.2500 0.3038
Cd3 0.6405 0.7500 0.2802
Sc2 0.8476 0.7500 0.6962
Dy3 0.2356 0.7500 0.4718
Dy4 0.9558 0.2500 0.9125
Cd4 0.3595 0.2500 0.7198
```

Output
The density of states at the Fermi level comes out at 0.859 states/eV/atom. The calculation puts the formation energy at -0.22 eV/atom. The total energy is -18.5 eV per formula unit.

=====

(2)
First-principles (PBE) data for an optimized crystal structure of NiH2Pd2, as listed in Alexandria.

Structure (CIF):
```
data_NiH2Pd2
_space_group_name_H-M_alt 'P 1'
_space_group_IT_number 1
_cell_length_a 3.0030
_cell_length_b 3.0030
_cell_length_c 5.7936
_cell_angle_alpha 74.98
_cell_angle_beta 74.98
_cell_angle_gamma 90.00
loop_
_space_group_symop_operation_xyz
'x,y,z'
loop_
_atom_site_label
_atom_site_fract_x
_atom_site_fract_y
_atom_site_fract_z
H1 0.2500 0.7500 0.5000
H2 0.7500 0.2500 0.5000
Ni1 0.0000 0.0000 0.0000
Pd1 0.3533 0.3533 0.2934
Pd2 0.6467 0.6467 0.7066
```

Output
The density of states at the Fermi level comes out at 0.894 states/eV/atom. The total energy is -22.7 eV per formula unit.

=====

(3)
First-principles (PBE) data for an optimized crystal structure of YTi2In, as listed in Alexandria.

Structure (CIF):
```
data_YTi2In
_space_group_name_H-M_alt 'P 1'
_space_group_IT_number 1
_cell_length_a 7.9678
_cell_length_b 7.9678
_cell_length_c 6.3813
_cell_angle_alpha 51.37
_cell_angle_beta 51.37
_cell_angle_gamma 90.00
loop_
_space_group_symop_operation_xyz
'x,y,z'
loop_
_atom_site_label
_atom_site_fract_x
_atom_site_fract_y
_atom_site_fract_z
Y1 0.2500 0.7500 0.5000
Ti1 0.6492 0.1250 0.2500
In1 0.0000 0.0000 0.0000
Y2 0.5000 0.5000 0.0000
In2 0.7500 0.2500 0.5000
Ti2 0.3750 0.3508 0.7500
Ti3 0.1008 0.6250 0.2500
Ti4 0.8750 0.8992 0.7500
```

Output
The density of states at the Fermi level comes out at 0.919 states/eV/atom. The calculation puts the formation energy at 0.42 eV/atom. The total energy is -23.3 eV per formula unit.

=====

(4)
First-principles (PBE) data for an optimized crystal structure of CeEr3Ru4, as listed in Alexandria.

Structure (CIF):
```
data_CeEr3Ru4
_space_group_name_H-M_alt 'P 1'
_space_group_IT_number 1
_cell_length_a 4.8205
_cell_length_b 4.8205
_cell_length_c 8.2183
_cell_angle_alpha 72.95
_cell_angle_beta 72.95
_cell_angle_gamma 60.00
loop_
_space_group_symop_operation_xyz
'x,y,z'
loop_
_atom_site_label
_atom_site_fract_x
_atom_site_fract_y
_atom_site_fract_z
Er1 0.7529 0.7529 0.7414
Ru1 0.6272 0.6272 0.1185
Er2 0.5000 0.5000 0.5000
Ru2 0.3728 0.3728 0.8815
Ce1 0.0000 0.0000 0.0000
Ru3 0.8789 0.8789 0.3633
Er3 0.2471 0.2471 0.2586
Ru4 0.1211 0.1211 0.6367
```

Output
The density of states at the Fermi level comes out at 0.609 states/eV/atom. The calculation puts the formation energy at -0.43 eV/atom. The total energy is -60.2 eV per formula unit.

=====

(5)
First-principles (PBE) data for an optimized crystal structure of Li2AlGa, as listed in Alexandria.

Structure (CIF):
```
data_Li2AlGa
_space_group_name_H-M_alt 'P 1'
_space_group_IT_number 1
_cell_length_a 4.1824
_cell_length_b 3.8937
_cell_length_c 3.8937
_cell_angle_alpha 90.00
_cell_angle_beta 90.00
_cell_angle_gamma 90.00
loop_
_space_group_symop_operation_xyz
'x,y,z'
loop_
_atom_site_label
_atom_site_fract_x
_atom_site_fract_y
_atom_site_fract_z
Li1 0.0000 0.5000 0.0000
Ga1 0.5000 0.0000 0.0000
Al1 0.5000 0.5000 0.5000
Li2 0.0000 0.0000 0.5000
```

Output
The density of states at the Fermi level comes out at 0.307 states/eV/atom. The calculation puts the formation energy at -0.20 eV/atom. The total energy is -11.4 eV per formula unit.

=====

(6)
First-principles (PBE) data for an optimized crystal structure of Hg2MoPt, as listed in Alexandria.

Structure (CIF):
```
data_Hg2MoPt
_space_group_name_H-M_alt 'P 1'
_space_group_IT_number 1
_cell_length_a 4.7744
_cell_length_b 4.7744
_cell_length_c 5.7818
_cell_angle_alpha 83.24
_cell_angle_beta 83.24
_cell_angle_gamma 35.16
loop_
_space_group_symop_operation_xyz
'x,y,z'
loop_
_atom_site_label
_atom_site_fract_x
_atom_site_fract_y
_atom_site_fract_z
Mo1 0.5024 0.5024 0.4636
Hg1 0.9980 0.9980 0.0079
Hg2 0.7551 0.7551 0.7394
Pt1 0.2445 0.2445 0.2890
```

Output
The density of states at the Fermi level comes out at 0.484 states/eV/atom. The calculation puts the formation energy at 0.34 eV/atom. The total energy is -16.1 eV per formula unit.

=====

(7)
First-principles (PBE) data for an optimized crystal structure of La4SeS5, as listed in Alexandria.

Structure (CIF):
```
data_La4SeS5
_space_group_name_H-M_alt 'P 1'
_space_group_IT_number 1
_cell_length_a 4.3582
_cell_length_b 8.0298
_cell_length_c 9.4866
_cell_angle_alpha 115.08
_cell_angle_beta 103.28
_cell_angle_gamma 90.00
loop_
_space_group_symop_operation_xyz
'x,y,z'
loop_
_atom_site_label
_atom_site_fract_x
_atom_site_fract_y
_atom_site_fract_z
S1 0.5000 0.5000 0.0000
Se1 0.5000 0.0000 0.0000
S2 0.8318 0.6039 0.6636
S3 0.8320 0.0605 0.6640
La1 0.7119 0.2117 0.4238
La2 0.2881 0.7883 0.5762
S4 0.1682 0.3961 0.3364
S5 0.1680 0.9395 0.3360
La3 0.9998 0.7376 0.9996
La4 0.0002 0.2624 0.0004
```

Output
The formation energy (no corrections) is -2110 meV/atom. The total energy is -64.9 eV per formula unit.

=====

(8)
First-principles (PBE) data for an optimized crystal structure of Sc3Cd5, as listed in Alexandria.

Structure (CIF):
```
data_Sc3Cd5
_space_group_name_H-M_alt 'P 1'
_space_group_IT_number 1
_cell_length_a 4.8941
_cell_length_b 4.8941
_cell_length_c 8.0396
_cell_angle_alpha 107.69
_cell_angle_beta 107.69
_cell_angle_gamma 90.11
loop_
_space_group_symop_operation_xyz
'x,y,z'
loop_
_atom_site_label
_atom_site_fract_x
_atom_site_fract_y
_atom_site_fract_z
Cd1 0.3764 0.8764 0.7528
Sc1 0.7566 0.7566 0.5132
Cd2 0.1236 0.6236 0.2472
Sc2 0.2434 0.2434 0.4868
Sc3 0.5000 0.5000 0.0000
Cd3 0.6236 0.1236 0.2472
Cd4 0.0000 0.0000 0.0000
Cd5 0.8764 0.3764 0.7528
```

Output
The density of states at the Fermi level comes out at 0.542 states/eV/atom. The calculation puts the formation energy at -0.25 eV/atom. The total energy is -25.6 eV per formula unit.